Au2C, single point on PBEsol structure, DFT SCAN; crystal system = monoclinic; total magnetic moment = 0.0 μB/f.u.; ΔH_f (0 K) = 3.8 eV per formula unit; excess energy over the best structure of this formula in the dataset = 0 meV per atom; density of states at the Fermi level = 1.2 states/eV/f.u.
1.0
10.318 0.000 0.000
0.000 3.013 0.000
-5.077 0.000 5.763
Au C
8 4
direct
0.097 0.000 0.323 Au
0.232 0.000 0.786 Au
0.268 0.500 0.214 Au
0.403 0.500 0.677 Au
0.597 0.500 0.323 Au
0.732 0.500 0.786 Au
0.768 0.000 0.214 Au
0.903 0.000 0.677 Au
0.098 0.500 0.841 C
0.402 0.000 0.159 C
0.598 0.000 0.841 C
0.902 0.500 0.159 C